Rb2InTeCl6, relaxed, DFT GGA-PBE; formation energy without anion corrections = -26.52 kcal/mol of atoms; space group = I4/mmm (139); total moment = 1.00 Bohr magnetons per cell; D(E_F) = 0.106 states/eV per atom
1.0
-4.0515 4.0515 5.3304
4.0515 -4.0515 5.3304
4.0515 4.0515 -5.3304
Rb In Te Cl
2 1 1 6
Direct
0.2500 0.7500 0.5000 Rb
0.7500 0.2500 0.5000 Rb
0.0000 0.0000 0.0000 In
0.5000 0.5000 0.0000 Te
0.2215 0.2215 0.4429 Cl
0.2215 0.7785 0.0000 Cl
0.2572 0.2572 0.0000 Cl
0.7428 0.7428 0.0000 Cl
0.7785 0.2215 0.0000 Cl
0.7785 0.7785 0.5571 Cl

=====

RbTiIn2Cl6, relaxed, DFT GGA-PBE; formation energy without anion corrections = -31.03 kcal/mol of atoms; space group = P1 (1); total moment = 1.00 Bohr magnetons per cell; D(E_F) = 0.644 states/eV per atom
1.0
7.6472 0.0000 0.0000
3.8205 6.6599 0.0000
3.8209 2.2002 6.4466
Rb Ti In Cl
1 1 2 6
Direct
0.0000 0.0000 0.0000 Rb
0.4911 0.4914 0.5258 Ti
0.2850 0.2865 0.1434 In
0.7932 0.7907 0.6238 In
0.1679 0.3930 0.7603 Cl
0.2756 0.8019 0.3212 Cl
0.3922 0.6753 0.7631 Cl
0.6018 0.2773 0.3189 Cl
0.6760 0.1703 0.7610 Cl
0.8027 0.6021 0.3214 Cl

=====

RbTl3In2Cl6, relaxed, DFT GGA-PBE; formation energy without anion corrections = -25.31 kcal/mol of atoms; space group = C2/m (12); total moment = 0.00 Bohr magnetons per cell; D(E_F) = 0.000 states/eV per atom
1.0
3.9882 -6.9083 0.0000
3.9882 6.9083 0.0000
-2.6574 0.0000 7.5275
Rb Tl In Cl
1 3 2 6
Direct
0.0000 0.0000 0.0000 Rb
0.1663 0.8337 0.5000 Tl
0.5000 0.5000 0.5000 Tl
0.8337 0.1663 0.5000 Tl
0.3337 0.6663 0.0000 In
0.6663 0.3337 0.0000 In
0.0836 0.4219 0.2501 Cl
0.2564 0.2564 0.7525 Cl
0.4219 0.0836 0.2501 Cl
0.5781 0.9164 0.7499 Cl
0.7436 0.7436 0.2475 Cl
0.9164 0.5781 0.7499 Cl